A plane-wave DFT calculation with PBE was carried out for an optimized crystal structure of PuMnGe.

Results
- total DFT energy (no corrections) (eV for the cell shown) = -29.06
- DOS(E_F) (states/eV/cell) = 3.83

Cell lengths 3.407, 4.408, 4.408 Å; angles 120.00, 90.00, 90.00 degrees
Fractional coordinates of all 3 atoms:
Ge 0.167 0.000 0.000
Mn 0.167 0.333 0.667
Pu 0.667 0.667 0.333